Compound: NbTlHg2
Source: OQMD via LeMat-Bulk
Functional: PBE
Structure: relaxed

Results
For the raw total energy, the calculation gives -10.537 eV per cell.

Cell: 4.997 4.997 4.997 Å, 60.00 60.00 60.00°
Fractional coordinates of all 4 atoms:
Nb: 0.000 0.000 0.000
Tl: 0.750 0.750 0.750
Hg: 0.250 0.250 0.250
Hg: 0.500 0.500 0.500